## TbPm2Dy6Ho3 (PBE)

Data for TbPm2Dy6Ho3 after structural relaxation.

```
TbPm2Dy6Ho3
1.0
3.0813 -5.3323 0.0000
3.0813 5.3323 0.0000
-2.0423 0.0000 11.6038
Tb Pm Dy Ho
1 2 6 3
Cartesian
0.0000 0.0000 0.0000
3.0813 1.7766 0.0000
3.0813 -1.7766 0.0000
1.0327 1.7751 2.9308
0.0020 0.0000 8.6707
1.0327 -1.7751 2.9308
3.0876 1.7751 8.6730
4.1183 0.0000 2.9331
3.0876 -1.7751 8.6730
2.0601 3.5564 5.8019
2.0601 0.0000 5.8019
2.0601 -3.5564 5.8019
```

Output
The value obtained for the uncorrected energy is -4.607 eV/atom. The formation energy comes out at 0.016 eV per atom. As for the symmetry: C2/m (12).

## Na2CeTh2Se6 (PBE)

Data for Na2CeTh2Se6 after structural relaxation.

```
Na2CeTh2Se6
1.0
3.6891 -6.4182 0.0000
3.6891 6.4182 0.0000
-2.4419 0.0000 7.0322
Na Ce Th Se
2 1 2 6
Cartesian
3.6891 4.2856 0.0000
3.6891 -4.2856 0.0000
-1.2210 0.0000 3.5161
2.4682 2.1134 3.5161
2.4682 -2.1134 3.5161
0.0182 2.1973 5.1552
1.2592 0.0000 1.8517
0.0182 -2.1973 5.1552
4.9182 2.1973 1.8770
3.6771 0.0000 5.1805
4.9182 -2.1973 1.8770
```

Output
The value obtained for the uncorrected energy is -5.615 eV/atom. As for the symmetry: C2/m (12). Its raw formation energy is -1586 meV per atom.